A plane-wave DFT calculation with GGA-PBE was carried out for an optimized crystal structure of TcPb.

As for the formation energy: 581 meV per atom.

Lattice parameters (Å, degrees): 4.3435 5.5646 7.1099 90.00 90.00 90.00
With the nearest neighbours (Å) after each atom.
Element x y z (fractional)
Tc 0.2500 0.6033 0.9809  2 Tc 2.47
Tc 0.7500 0.1033 0.5191  2 Tc 2.47
Tc 0.7500 0.3967 0.0191  2 Tc 2.47
Tc 0.2500 0.8967 0.4809  2 Tc 2.47
Pb 0.2500 0.1023 0.8423  5 Tc 2.81-3.00
Pb 0.7500 0.8977 0.1577  5 Tc 2.81-3.00
Pb 0.2500 0.3977 0.3423  5 Tc 2.81-3.00
Pb 0.7500 0.6023 0.6577  5 Tc 2.81-3.00

***

A plane-wave DFT calculation with GGA-PBE was carried out for an optimized crystal structure of TcPb.

As for the formation energy: 620 meV per atom.

Lattice parameters (Å, degrees): 5.3523 5.9367 3.1877 74.43 72.68 60.78
With the nearest neighbours (Å) after each atom.
Element x y z (fractional)
Pb 0.0856 0.9744 0.9700  5 Tc 2.86-3.11, 2 Pb 3.19
Pb 0.8310 0.6089 0.7800  5 Tc 2.86-3.11, 2 Pb 3.19
Tc 0.4728 0.1188 0.2042  2 Tc 2.49
Tc 0.4439 0.4646 0.5458  2 Tc 2.49

***

A plane-wave DFT calculation with GGA-PBE was carried out for an optimized crystal structure of Tc5Pb.

As for the formation energy: 562 meV per atom.

Lattice parameters (Å, degrees): 5.0337 5.0337 4.7300 90.00 90.00 120.00
With the nearest neighbours (Å) after each atom.
Element x y z (fractional)
Tc 0.6667 0.3333 0.0000  9 Tc 2.78-2.91, 3 Pb 2.91
Tc 0.0000 0.5000 0.5000  8 Tc 2.52-2.78
Tc 0.5000 0.0000 0.5000  8 Tc 2.52-2.78
Tc 0.3333 0.6667 0.0000  9 Tc 2.78-2.91, 3 Pb 2.91
Tc 0.5000 0.5000 0.5000  8 Tc 2.52-2.78
Pb 0.0000 0.0000 0.0000  6 Tc 2.91

***

A plane-wave DFT calculation with GGA-PBE was carried out for an optimized crystal structure of TcPb.

As for the formation energy: 818 meV per atom.

Lattice parameters (Å, degrees): 3.2598 3.2598 8.5298 90.00 90.00 120.00
With the nearest neighbours (Å) after each atom.
Element x y z (fractional)
Tc 0.3333 0.6667 0.2500  6 Pb 2.84
Tc 0.6667 0.3333 0.7500  6 Pb 2.84
Pb 0.0000 0.0000 0.5000  6 Tc 2.84
Pb 0.0000 0.0000 0.0000  6 Tc 2.84

***

A plane-wave DFT calculation with GGA-PBE was carried out for an optimized crystal structure of TcPb.

As for the formation energy: 990 meV per atom.

Lattice parameters (Å, degrees): 5.1221 5.1221 7.8219 90.00 90.00 120.00
With the nearest neighbours (Å) after each atom.
Element x y z (fractional)
Tc 0.6667 0.3333 0.6013  1 Tc 2.33
Tc 0.6667 0.3333 0.8987  1 Tc 2.33
Tc 0.3333 0.6667 0.3987  1 Tc 2.33
Tc 0.3333 0.6667 0.1013  1 Tc 2.33
Pb 0.3333 0.6667 0.7500  2 Tc 2.75, 3 Pb 2.96
Pb 0.6667 0.3333 0.2500  2 Tc 2.75, 3 Pb 2.96
Pb 0.0000 0.0000 0.7500  3 Pb 2.96, 6 Tc 3.18
Pb 0.0000 0.0000 0.2500  3 Pb 2.96, 6 Tc 3.18

***

A plane-wave DFT calculation with GGA-PBE was carried out for an optimized crystal structure of TcPb5.

As for the formation energy: 431 meV per atom.

Lattice parameters (Å, degrees): 8.1108 8.1108 5.1616 90.00 90.00 150.32
With the nearest neighbours (Å) after each atom.
Element x y z (fractional)
Tc 0.5000 0.5000 0.0000  8 Pb 3.01-3.31
Pb 0.1391 0.8609 0.0000  2 Tc 3.01, 4 Pb 3.33
Pb 0.6618 0.3382 0.5000  8 Pb 3.28-3.46, 2 Tc 3.62
Pb 0.3382 0.6618 0.5000  8 Pb 3.28-3.46, 2 Tc 3.62
Pb 0.8609 0.1391 0.0000  2 Tc 3.01, 4 Pb 3.33
Pb 0.0000 0.0000 0.5000  8 Pb 3.28-3.38, 4 Tc 3.31

***

A plane-wave DFT calculation with GGA-PBE was carried out for an optimized crystal structure of Tc5Pb.

As for the formation energy: 353 meV per atom.

Lattice parameters (Å, degrees): 4.8827 4.8827 4.5731 90.00 90.00 120.00
With the nearest neighbours (Å) after each atom.
Element x y z (fractional)
Tc 0.3448 0.3448 0.0000  10 Tc 2.77-2.92, 2 Pb 2.84
Tc 0.6667 0.3333 0.5000  9 Tc 2.79-2.82, 3 Pb 2.82
Tc 0.3333 0.6667 0.5000  9 Tc 2.79-2.82, 3 Pb 2.82
Tc 0.6552 0.0000 0.0000  10 Tc 2.77-2.92, 2 Pb 2.84
Tc 0.0000 0.6552 0.0000  10 Tc 2.77-2.92, 2 Pb 2.84
Pb 0.0000 0.0000 0.5000  12 Tc 2.82-2.84

***

A plane-wave DFT calculation with GGA-PBE was carried out for an optimized crystal structure of Tc4Pb5.

As for the formation energy: 858 meV per atom.

Lattice parameters (Å, degrees): 8.3159 8.3159 6.2009 90.00 90.00 120.00
With the nearest neighbours (Å) after each atom.
Element x y z (fractional)
Pb 0.3333 0.6667 0.0000  6 Tc 3.01, 2 Pb 3.10
Pb 0.6667 0.3333 0.0000  6 Tc 3.01, 2 Pb 3.10
Pb 0.2800 0.0000 0.7500  5 Tc 2.76-2.88
Pb 0.7200 0.7200 0.7500  5 Tc 2.76-2.88
Pb 0.6667 0.3333 0.5000  6 Tc 3.01, 2 Pb 3.10
Pb 0.0000 0.7200 0.2500  5 Tc 2.76-2.88
Pb 0.2800 0.2800 0.2500  5 Tc 2.76-2.88
Pb 0.0000 0.2800 0.7500  5 Tc 2.76-2.88
Pb 0.7200 0.0000 0.2500  5 Tc 2.76-2.88
Pb 0.3333 0.6667 0.5000  6 Tc 3.01, 2 Pb 3.10
Tc 0.0000 0.0000 0.5000  6 Pb 2.80, 2 Tc 3.10
Tc 0.3879 0.3879 0.7500  7 Pb 2.76-3.01
Tc 0.6121 0.0000 0.7500  7 Pb 2.76-3.01
Tc 0.0000 0.3879 0.2500  7 Pb 2.76-3.01
Tc 0.3879 0.0000 0.2500  7 Pb 2.76-3.01
Tc 0.0000 0.6121 0.7500  7 Pb 2.76-3.01
Tc 0.6121 0.6121 0.2500  7 Pb 2.76-3.01
Tc 0.0000 0.0000 0.0000  6 Pb 2.80, 2 Tc 3.10

***

A plane-wave DFT calculation with GGA-PBE was carried out for an optimized crystal structure of TcPb.

As for the formation energy: 754 meV per atom.

Lattice parameters (Å, degrees): 3.3640 4.7600 4.7591 90.00 90.00 90.00
With the nearest neighbours (Å) after each atom.
Element x y z (fractional)
Pb 0.0000 0.0000 0.9166  8 Tc 2.91
Pb 0.0000 0.5000 0.4167  8 Tc 2.91
Tc 0.5000 0.5000 0.9168  8 Pb 2.91
Tc 0.5000 0.0000 0.4166  8 Pb 2.91

***

A plane-wave DFT calculation with GGA-PBE was carried out for an optimized crystal structure of TcPb5.

As for the formation energy: 317 meV per atom.

Lattice parameters (Å, degrees): 6.3022 6.3022 8.7406 68.58 68.58 31.49
With the nearest neighbours (Å) after each atom.
Element x y z (fractional)
Pb 0.9675 0.9675 0.6125  2 Tc 3.00, 1 Pb 3.31
Pb 0.6732 0.6732 0.7506  2 Tc 2.90
Pb 0.3054 0.3054 0.3890  12 Pb 3.41-3.82
Pb 0.9379 0.9379 0.0273  2 Tc 2.90
Pb 0.6437 0.6437 0.1652  2 Tc 3.00, 1 Pb 3.31
Tc 0.3056 0.3056 0.8888  8 Pb 2.90-3.00

***

A plane-wave DFT calculation with GGA-PBE was carried out for an optimized crystal structure of TcPb.

As for the formation energy: 915 meV per atom.

Lattice parameters (Å, degrees): 4.8380 4.8380 4.8380 60.00 60.00 60.00
With the nearest neighbours (Å) after each atom.
Element x y z (fractional)
Pb 0.2500 0.2500 0.2500  4 Pb 2.96, 4 Tc 2.96
Pb 0.0000 0.0000 0.0000  4 Tc 2.96, 4 Pb 2.96
Tc 0.5000 0.5000 0.5000  4 Pb 2.96, 4 Tc 2.96
Tc 0.7500 0.7500 0.7500  4 Pb 2.96, 4 Tc 2.96

***

A plane-wave DFT calculation with GGA-PBE was carried out for an optimized crystal structure of TcPb5.

As for the formation energy: 869 meV per atom.

Lattice parameters (Å, degrees): 6.1672 6.1672 6.0264 90.00 90.00 120.00
With the nearest neighbours (Å) after each atom.
Element x y z (fractional)
Pb 0.5000 0.5000 0.5000  4 Pb 3.08
Pb 0.3333 0.6667 0.0000  9 Pb 3.50-3.56, 3 Tc 3.56
Pb 0.0000 0.5000 0.5000  4 Pb 3.08
Pb 0.6667 0.3333 0.0000  9 Pb 3.50-3.56, 3 Tc 3.56
Pb 0.5000 0.0000 0.5000  4 Pb 3.08
Tc 0.0000 0.0000 0.0000  6 Pb 3.56